Mg2TaSb3Pt3: optimized geometry, PBE-GGA.

Properties
Its total energy is -205.41 eV/cell.

a = 7.732 Å, b = 13.377 Å, c = 7.732 Å
α = 90.00°, β = 109.54°, γ = 90.00°
Space group Cc (No. 9)
Inequivalent atoms, fractional coordinates:
1 Mg 0.000 0.083 0.000 [4 per cell]
2 Mg 0.005 0.252 0.500 [4 per cell]
3 Ta 0.004 0.417 0.001 [4 per cell]
4 Sb 0.243 0.085 0.755 [4 per cell]
5 Sb 0.256 0.246 0.250 [4 per cell]
6 Sb 0.262 0.412 0.749 [4 per cell]
7 Pt 0.363 0.416 0.121 [4 per cell]
8 Pt 0.384 0.242 0.622 [4 per cell]
9 Pt 0.389 0.075 0.136 [4 per cell]